# Ca2TlH, relaxed, DFT GGA-PBE
data_Ca2TlH
_symmetry_space_group_name_H-M 'P m m m'
_symmetry_Int_Tables_number 47
_symmetry_space_group_name_Hall '-P 2 2'
_cell_length_a 3.447
_cell_length_b 3.949
_cell_length_c 7.478
_cell_angle_alpha 90.00
_cell_angle_beta 90.00
_cell_angle_gamma 90.00
loop_
_atom_site_label
_atom_site_type_symbol
_atom_site_fract_x
_atom_site_fract_y
_atom_site_fract_z
Ca1 Ca 0.000 0.000 0.232
Tl1 Tl 0.500 0.500 0.500
H1 H 0.500 0.000 0.000
# Crystal system: orthorhombic
# M_tot: 0.0 Bohr magnetons per cell
# DFT total energy: -2.73 eV per atom